No. 1
Material: RbNaCa2Tl
Method: DFT, PBE
State: relaxed

Cell lengths 6.1882, 6.1882, 6.2718 Å; angles 90.00, 90.00, 90.00 degrees
Space group P4/mmm (No. 123)
Inequivalent atoms, fractional coordinates:
Rb 0.0000 0.0000 0.0000 (multiplicity 1)
Na 0.5000 0.5000 0.0000 (multiplicity 1)
Ca 0.0000 0.5000 0.5000 (multiplicity 2)
Tl 0.5000 0.5000 0.5000 (multiplicity 1)

No. 2
Material: NaErTm2S4
Method: DFT, PBE
State: relaxed

Cell lengths 6.7396, 3.8541, 6.7426 Å; angles 90.00, 109.01, 90.00 degrees
Space group P2/m (No. 10)
Inequivalent atoms, fractional coordinates:
Na 0.0000 0.0000 0.0000 (multiplicity 1)
Er 0.5000 0.5000 0.0000 (multiplicity 1)
Tm 0.0000 0.5000 0.5000 (multiplicity 1)
Tm 0.5000 0.0000 0.5000 (multiplicity 1)
S 0.2503 0.0000 0.7470 (multiplicity 2)
S 0.2566 0.5000 0.2579 (multiplicity 2)

No. 3
Material: PaCu5S6
Method: DFT, PBE
State: relaxed

Cell lengths 6.2011, 10.7049, 6.2150 Å; angles 90.00, 109.10, 90.00 degrees
Space group C2/m (No. 12)
Inequivalent atoms, fractional coordinates:
Pa 0.0000 0.0000 0.0000 (multiplicity 2)
Cu 0.0000 0.1553 0.5000 (multiplicity 4)
Cu 0.0000 0.3307 0.0000 (multiplicity 4)
Cu 0.0000 0.5000 0.5000 (multiplicity 2)
S 0.2328 0.5000 0.2573 (multiplicity 4)
S 0.2411 0.3253 0.7389 (multiplicity 8)

No. 4
Material: CaMgBe
Method: DFT, PBE
State: relaxed

Distance to the lowest polymorph of the same formula   42.2 meV/atom

Cell lengths 4.0866, 4.5223, 15.2823 Å; angles 90.00, 90.00, 90.00 degrees
Space group Amm2 (No. 38)
Inequivalent atoms, fractional coordinates:
Ca 0.0000 0.0000 0.0000 (multiplicity 2)
Ca 0.0000 0.0000 0.2312 (multiplicity 2)
Mg 0.5000 0.0000 0.5975 (multiplicity 2)
Mg 0.5000 0.0000 0.8330 (multiplicity 2)
Be 0.2565 0.0000 0.4078 (multiplicity 4)

No. 5
Material: Si2MoN
Method: DFT, PBE
State: relaxed

Cell lengths 5.5609, 5.5609, 6.8248 Å; angles 90.00, 90.00, 90.00 degrees
Space group I-42d (No. 122)
Inequivalent atoms, fractional coordinates:
Si 0.1554 0.2500 0.1250 (multiplicity 8)
Mo 0.0000 0.0000 0.5000 (multiplicity 4)
N 0.0000 0.0000 0.0000 (multiplicity 4)

No. 6
Material: SmBeGa2
Method: DFT, PBE
State: relaxed

Cell lengths 4.0319, 4.0319, 15.9639 Å; angles 90.00, 90.00, 120.00 degrees
Space group R-3m (No. 166, hexagonal axes)
Inequivalent atoms, fractional coordinates:
Sm 0.0000 0.0000 0.0000 (multiplicity 3)
Be 0.0000 0.0000 0.5000 (multiplicity 3)
Ga 0.0000 0.0000 0.2126 (multiplicity 6)

No. 7
Material: CeMn4Se8
Method: DFT, PBE
State: relaxed

Cell lengths 7.4129, 7.4129, 20.1681 Å; angles 90.00, 90.00, 120.00 degrees
Space group R-3m (No. 166, hexagonal axes)
Inequivalent atoms, fractional coordinates:
Ce 0.0000 0.0000 0.0000 (multiplicity 3)
Mn 0.0000 0.0000 0.5000 (multiplicity 3)
Mn 0.0000 0.5000 0.5000 (multiplicity 9)
Se 0.0000 0.0000 0.2340 (multiplicity 6)
Se 0.0004 0.5002 0.2384 (multiplicity 18)

No. 8
Material: PmCd2Cu
Method: DFT, PBE
State: relaxed

Distance to the lowest polymorph of the same formula   0.0 meV/atom

Cell lengths 4.3749, 10.0646, 7.9854 Å; angles 90.00, 90.00, 90.00 degrees
Space group Cmcm (No. 63)
Inequivalent atoms, fractional coordinates:
Pm 0.0000 0.0635 0.2500 (multiplicity 4)
Cd 0.0000 0.3563 0.0544 (multiplicity 8)
Cu 0.0000 0.2294 0.7500 (multiplicity 4)

No. 9
Material: Mn4Rh
Method: DFT, PBE
State: relaxed

Cell lengths 3.6150, 3.6150, 9.6617 Å; angles 90.00, 90.00, 90.00 degrees
Space group I4/mmm (No. 139)
Inequivalent atoms, fractional coordinates:
Mn 0.0000 0.0000 0.1094 (multiplicity 4)
Mn 0.0000 0.5000 0.2500 (multiplicity 4)
Rh 0.0000 0.0000 0.5000 (multiplicity 2)

No. 10
Material: SrV3Cl
Method: DFT, PBE
State: relaxed

Distance to the lowest polymorph of the same formula   1568.2 meV/atom

Cell lengths 5.7792, 5.7792, 5.7792 Å; angles 90.00, 90.00, 90.00 degrees
Space group Pm-3m (No. 221)
Inequivalent atoms, fractional coordinates:
Sr 0.0000 0.0000 0.0000 (multiplicity 1)
V 0.0000 0.0000 0.5000 (multiplicity 3)
Cl 0.5000 0.5000 0.5000 (multiplicity 1)

No. 11
Material: Y2Ho15Tm2
Method: DFT, PBE
State: relaxed

Cell lengths 11.0861, 11.0861, 17.5085 Å; angles 90.00, 90.00, 120.00 degrees
Space group R-3m (No. 166, hexagonal axes)
Inequivalent atoms, fractional coordinates:
Y 0.0000 0.0000 0.1779 (multiplicity 6)
Ho 0.0000 0.2986 0.5000 (multiplicity 18)
Ho 0.0000 0.5000 0.0000 (multiplicity 9)
Ho 0.0116 0.5058 0.6362 (multiplicity 18)
Tm 0.0000 0.0000 0.4040 (multiplicity 6)

No. 12
Material: Co3CBr
Method: DFT, PBE
State: relaxed

Distance to the lowest polymorph of the same formula   1761.9 meV/atom

Cell lengths 4.3032, 4.3032, 4.3032 Å; angles 90.00, 90.00, 90.00 degrees
Space group Pm-3m (No. 221)
Inequivalent atoms, fractional coordinates:
Co 0.0000 0.0000 0.5000 (multiplicity 3)
C 0.5000 0.5000 0.5000 (multiplicity 1)
Br 0.0000 0.0000 0.0000 (multiplicity 1)

Number 1: calculated total energy -1.7201 eV/atom. Number 2: calculated total energy -5.8094 eV/atom. Number 3: calculated total energy -5.0554 eV/atom. Number 4: calculated total energy -2.2875 eV/atom. Number 5: calculated total energy -7.3462 eV/atom. Number 6: calculated total energy -4.0083 eV/atom. Number 7: calculated total energy -6.1024 eV/atom. Number 8: calculated total energy -2.9426 eV/atom. Number 9: calculated total energy -8.4350 eV/atom. Number 10: calculated total energy -3.8453 eV/atom. Number 11: calculated total energy -4.4868 eV/atom. Number 12: calculated total energy -4.0903 eV/atom.